VASP calculation (PBE) on an optimized crystal structure of In6AgAu10.

abc: 7.102 7.736 7.773
angles: 119.11 95.91 98.23
Space group P-1 (No. 2)
Inequivalent atoms, fractional coordinates:
In: 0.208 0.390 0.350 (multiplicity 2)
In: 0.226 0.018 0.578 (multiplicity 2)
In: 0.256 0.648 0.076 (multiplicity 2)
Ag: 0.000 0.000 0.000 (multiplicity 1)
Au: 0.026 0.352 0.693 (multiplicity 2)
Au: 0.212 0.741 0.739 (multiplicity 2)
Au: 0.379 0.179 0.990 (multiplicity 2)
Au: 0.414 0.080 0.304 (multiplicity 2)
Au: 0.445 0.421 0.705 (multiplicity 2)

Summary:
The density of states at the Fermi level is 4.7 states/eV/f.u. For the total energy, the calculation gives -3.185 eV/atom.


VASP calculation (PBE) on an optimized crystal structure of In3Ag2Au4.

abc: 9.526 3.727 10.538
angles: 90.00 97.95 90.00
Space group C2/m (No. 12)
Inequivalent atoms, fractional coordinates:
In: 0.000 0.000 0.000 (multiplicity 2)
In: 0.102 0.500 0.647 (multiplicity 4)
Ag: 0.141 0.500 0.217 (multiplicity 4)
Au: 0.131 0.000 0.436 (multiplicity 4)
Au: 0.184 0.500 0.906 (multiplicity 4)

Summary:
Its energy above the most stable polymorph in this dataset is 0.0 meV/atom. The density of states at the Fermi level is 2.2 states/eV/f.u. For the total energy, the calculation gives -3.115 eV/atom.


VASP calculation (PBE) on an optimized crystal structure of InAg2Au.

abc: 9.898 3.120 5.061
angles: 90.00 102.42 90.00
Space group Cm (No. 8)
Inequivalent atoms, fractional coordinates:
In: 0.000 0.000 0.000 (multiplicity 2)
Ag: 0.247 0.000 0.725 (multiplicity 2)
Ag: 0.496 0.000 0.498 (multiplicity 2)
Au: 0.247 0.500 0.231 (multiplicity 2)

Summary:
The density of states at the Fermi level is 0.8 states/eV/f.u. For the total energy, the calculation gives -2.988 eV/atom.


VASP calculation (PBE) on an optimized crystal structure of InAg7Au4.

abc: 10.514 5.128 10.290
angles: 90.00 119.86 90.00
Space group C2/m (No. 12)
Inequivalent atoms, fractional coordinates:
In: 0.000 0.000 0.000 (multiplicity 2)
Ag: 0.000 0.500 0.000 (multiplicity 2)
Ag: 0.111 0.000 0.453 (multiplicity 4)
Ag: 0.153 0.500 0.617 (multiplicity 4)
Ag: 0.209 0.500 0.913 (multiplicity 4)
Au: 0.090 0.500 0.314 (multiplicity 4)
Au: 0.188 0.000 0.771 (multiplicity 4)

Summary:
The density of states at the Fermi level is 3.4 states/eV/f.u. For the total energy, the calculation gives -2.870 eV/atom.


VASP calculation (PBE) on an optimized crystal structure of In3Ag6Au.

abc: 11.632 13.881 5.096
angles: 90.00 90.00 90.00
Space group Cmc2_1 (No. 36)
Inequivalent atoms, fractional coordinates:
In: 0.000 0.136 0.000 (multiplicity 4)
In: 0.202 0.407 0.686 (multiplicity 8)
Ag: 0.000 0.240 0.472 (multiplicity 4)
Ag: 0.000 0.454 0.397 (multiplicity 4)
Ag: 0.122 0.053 0.549 (multiplicity 8)
Ag: 0.219 0.295 0.202 (multiplicity 8)
Au: 0.000 0.340 0.951 (multiplicity 4)

Summary:
The density of states at the Fermi level is 2.5 states/eV/f.u. For the total energy, the calculation gives -2.843 eV/atom.


VASP calculation (PBE) on an optimized crystal structure of InAg2Au.

abc: 4.028 4.219 4.468
angles: 90.00 90.00 90.00
Space group Pmmm (No. 47)
Inequivalent atoms, fractional coordinates:
In: 0.000 0.000 0.000 (multiplicity 1)
Ag: 0.000 0.500 0.500 (multiplicity 1)
Ag: 0.500 0.000 0.500 (multiplicity 1)
Au: 0.500 0.500 0.000 (multiplicity 1)

Summary:
The density of states at the Fermi level is 1.1 states/eV/f.u. For the total energy, the calculation gives -3.012 eV/atom.


VASP calculation (PBE) on an optimized crystal structure of In2Ag6Au.

abc: 9.546 4.169 9.078
angles: 90.00 110.02 90.00
Space group C2/m (No. 12)
Inequivalent atoms, fractional coordinates:
In: 0.162 0.000 0.223 (multiplicity 4)
Ag: 0.007 0.500 0.666 (multiplicity 4)
Ag: 0.166 0.000 0.551 (multiplicity 4)
Ag: 0.170 0.000 0.889 (multiplicity 4)
Au: 0.000 0.500 0.000 (multiplicity 2)

Summary:
Its energy above the most stable polymorph in this dataset is 0.0 meV/atom. The density of states at the Fermi level is 2.7 states/eV/f.u. For the total energy, the calculation gives -2.926 eV/atom.


VASP calculation (PBE) on an optimized crystal structure of In2Ag3Au3.

abc: 4.687 10.006 13.715
angles: 90.00 90.00 90.00
Space group Cmcm (No. 63)
Inequivalent atoms, fractional coordinates:
In: 0.000 0.242 0.110 (multiplicity 8)
Ag: 0.000 0.067 0.595 (multiplicity 8)
Ag: 0.000 0.258 0.750 (multiplicity 4)
Au: 0.000 0.398 0.569 (multiplicity 8)
Au: 0.000 0.447 0.250 (multiplicity 4)

Summary:
Its energy above the most stable polymorph in this dataset is 27.1 meV/atom. The density of states at the Fermi level is 2.2 states/eV/f.u. For the total energy, the calculation gives -3.051 eV/atom.


VASP calculation (PBE) on an optimized crystal structure of InAg4Au8.

abc: 10.517 10.517 10.517
angles: 90.00 90.00 90.00
Space group F-43m (No. 216)
Inequivalent atoms, fractional coordinates:
In: 0.000 0.000 0.000 (multiplicity 4)
Ag: 0.097 0.097 0.597 (multiplicity 16)
Au: 0.149 0.149 0.851 (multiplicity 16)
Au: 0.156 0.156 0.344 (multiplicity 16)

Summary:
Its energy above the most stable polymorph in this dataset is 211.2 meV/atom. The density of states at the Fermi level is 3.7 states/eV/f.u. For the total energy, the calculation gives -2.906 eV/atom.


VASP calculation (PBE) on an optimized crystal structure of In2Ag5Au.

abc: 6.018 11.998 4.193
angles: 90.00 90.00 90.00
Space group Pbam (No. 55)
Inequivalent atoms, fractional coordinates:
In: 0.241 0.124 0.000 (multiplicity 4)
Ag: 0.000 0.500 0.500 (multiplicity 2)
Ag: 0.012 0.751 0.500 (multiplicity 4)
Ag: 0.238 0.373 0.000 (multiplicity 4)
Au: 0.000 0.000 0.500 (multiplicity 2)

Summary:
The density of states at the Fermi level is 1.8 states/eV/f.u. For the total energy, the calculation gives -2.932 eV/atom.


VASP calculation (PBE) on an optimized crystal structure of In2Ag5Au4.

abc: 10.423 5.770 8.716
angles: 90.00 123.42 90.00
Space group C2/m (No. 12)
Inequivalent atoms, fractional coordinates:
In: 0.230 0.000 0.309 (multiplicity 4)
Ag: 0.000 0.500 0.000 (multiplicity 2)
Ag: 0.005 0.256 0.681 (multiplicity 8)
Au: 0.232 0.000 0.995 (multiplicity 4)
Au: 0.235 0.000 0.648 (multiplicity 4)

Summary:
Its energy above the most stable polymorph in this dataset is 0.0 meV/atom. The density of states at the Fermi level is 3.1 states/eV/f.u. For the total energy, the calculation gives -3.014 eV/atom.


VASP calculation (PBE) on an optimized crystal structure of In4AgAu15.

abc: 4.261 4.261 20.626
angles: 90.00 90.00 90.00
Space group P4/mmm (No. 123)
Inequivalent atoms, fractional coordinates:
In: 0.000 0.000 0.101 (multiplicity 2)
In: 0.000 0.000 0.304 (multiplicity 2)
Ag: 0.000 0.000 0.500 (multiplicity 1)
Au: 0.000 0.500 0.000 (multiplicity 2)
Au: 0.000 0.500 0.202 (multiplicity 4)
Au: 0.000 0.500 0.402 (multiplicity 4)
Au: 0.500 0.500 0.101 (multiplicity 2)
Au: 0.500 0.500 0.302 (multiplicity 2)
Au: 0.500 0.500 0.500 (multiplicity 1)

Summary:
The density of states at the Fermi level is 4.9 states/eV/f.u. For the total energy, the calculation gives -3.242 eV/atom.


VASP calculation (PBE) on an optimized crystal structure of In3AgAu12.

abc: 4.197 4.197 17.004
angles: 90.00 90.00 90.00
Space group P4/mmm (No. 123)
Inequivalent atoms, fractional coordinates:
In: 0.000 0.000 0.000 (multiplicity 1)
In: 0.000 0.000 0.253 (multiplicity 2)
Ag: 0.000 0.000 0.500 (multiplicity 1)
Au: 0.000 0.500 0.126 (multiplicity 4)
Au: 0.000 0.500 0.378 (multiplicity 4)
Au: 0.500 0.500 0.000 (multiplicity 1)
Au: 0.500 0.500 0.252 (multiplicity 2)
Au: 0.500 0.500 0.500 (multiplicity 1)

Summary:
The density of states at the Fermi level is 5.3 states/eV/f.u. For the total energy, the calculation gives -3.231 eV/atom.


VASP calculation (PBE) on an optimized crystal structure of InAg2Au.

abc: 4.189 4.189 8.634
angles: 90.00 90.00 90.00
Space group I-4m2 (No. 119)
Inequivalent atoms, fractional coordinates:
In: 0.000 0.000 0.000 (multiplicity 2)
Ag: 0.000 0.000 0.500 (multiplicity 2)
Ag: 0.000 0.500 0.250 (multiplicity 2)
Au: 0.000 0.500 0.750 (multiplicity 2)

Summary:
The density of states at the Fermi level is 0.8 states/eV/f.u. For the total energy, the calculation gives -3.019 eV/atom.


VASP calculation (PBE) on an optimized crystal structure of InAg8Au2.

abc: 12.640 7.621 4.893
angles: 90.00 103.14 90.00
Space group C2/m (No. 12)
Inequivalent atoms, fractional coordinates:
In: 0.000 0.000 0.000 (multiplicity 2)
Ag: 0.068 0.317 0.787 (multiplicity 8)
Ag: 0.144 0.500 0.329 (multiplicity 4)
Ag: 0.232 0.000 0.106 (multiplicity 4)
Au: 0.124 0.000 0.545 (multiplicity 4)

Summary:
Its energy above the most stable polymorph in this dataset is 143.0 meV/atom. The density of states at the Fermi level is 1.8 states/eV/f.u. For the total energy, the calculation gives -2.797 eV/atom.


VASP calculation (PBE) on an optimized crystal structure of InAg2Au.

abc: 10.051 3.161 4.948
angles: 90.00 104.31 90.00
Space group C2/m (No. 12)
Inequivalent atoms, fractional coordinates:
In: 0.000 0.000 0.000 (multiplicity 2)
Ag: 0.249 0.000 0.748 (multiplicity 4)
Au: 0.000 0.500 0.500 (multiplicity 2)

Summary:
The density of states at the Fermi level is 0.7 states/eV/f.u. For the total energy, the calculation gives -2.993 eV/atom.


VASP calculation (PBE) on an optimized crystal structure of In12Ag3Au5.

abc: 16.417 16.417 16.417
angles: 90.00 90.00 90.00
Space group Ia-3d (No. 230)
Inequivalent atoms, fractional coordinates:
In: 0.018 0.078 0.651 (multiplicity 96)
Ag: 0.000 0.250 0.125 (multiplicity 24)
Au: 0.000 0.000 0.000 (multiplicity 16)
Au: 0.000 0.250 0.375 (multiplicity 24)

Summary:
The density of states at the Fermi level is 8.4 states/eV/f.u. For the total energy, the calculation gives -2.875 eV/atom.